Compound: TaTlOsO6
Source: Alexandria via LeMat-Bulk
Functional: PBE
Structure: optimized geometry

```
TaTlOsO6
1.0
-3.6231 3.7110 5.2132
3.6231 -3.7110 5.2132
3.6231 3.7110 -5.2132
Ta Tl Os O
2 2 2 12
direct
0.0000 0.0000 0.0000 Ta
0.5000 0.0000 0.5000 Ta
0.3624 0.6124 0.7500 Tl
0.6376 0.3876 0.2500 Tl
0.0000 0.0000 0.5000 Os
0.0000 0.5000 0.0000 Os
0.0466 0.2966 0.7500 O
0.0561 0.3238 0.1339 O
0.0561 0.9223 0.7323 O
0.3101 0.0777 0.6339 O
0.3101 0.6762 0.2323 O
0.3144 0.0644 0.2500 O
0.6856 0.9356 0.7500 O
0.6899 0.3238 0.7677 O
0.6899 0.9223 0.3661 O
0.9439 0.0777 0.2677 O
0.9439 0.6762 0.8661 O
0.9534 0.7034 0.2500 O
```

Computed properties:
**Crystal system**: orthorhombic
**VASP energy**: -140.3 eV per cell
**Formation energy without anion corrections**: -1.66 eV/atom



Compound: Th2SnS
Source: Alexandria via LeMat-Bulk
Functional: PBE
Structure: optimized geometry

```
Th2SnS
1.0
4.3247 0.0000 0.0000
-2.1623 3.7453 0.0000
0.0000 0.0000 20.7961
Th Sn S
6 3 3
direct
0.0000 0.0000 0.2389 Th
0.0000 0.0000 0.7611 Th
0.3333 0.6667 0.4277 Th
0.3333 0.6667 0.9056 Th
0.6667 0.3333 0.0944 Th
0.6667 0.3333 0.5723 Th
0.0000 0.0000 0.0000 Sn
0.3333 0.6667 0.6667 Sn
0.6667 0.3333 0.3333 Sn
0.0000 0.0000 0.5000 S
0.3333 0.6667 0.1667 S
0.6667 0.3333 0.8333 S
```

Computed properties:
**Energy above the most stable polymorph in this dataset**: 0 meV/atom
**Crystal system**: trigonal
**VASP energy**: -82.4 eV per cell
**Formation energy without anion corrections**: -1.13 eV/atom



Compound: NaNd2GeO5
Source: Alexandria via LeMat-Bulk
Functional: PBE
Structure: optimized geometry

```
NaNd2GeO5
1.0
6.8065 0.0000 0.0000
0.0000 6.8065 0.0000
0.0000 0.0000 5.8357
Na Nd Ge O
2 4 2 10
direct
0.0000 0.0000 0.0000 Na
0.5000 0.5000 0.0000 Na
0.1775 0.3225 0.5000 Nd
0.3225 0.8225 0.5000 Nd
0.6775 0.1775 0.5000 Nd
0.8225 0.6775 0.5000 Nd
0.0000 0.5000 0.0000 Ge
0.5000 0.0000 0.0000 Ge
0.0000 0.0000 0.5000 O
0.1353 0.6353 0.2434 O
0.1353 0.6353 0.7566 O
0.3647 0.1353 0.2434 O
0.3647 0.1353 0.7566 O
0.5000 0.5000 0.5000 O
0.6353 0.8647 0.2434 O
0.6353 0.8647 0.7566 O
0.8647 0.3647 0.2434 O
0.8647 0.3647 0.7566 O
```

Computed properties:
**Crystal system**: tetragonal
**VASP energy**: -121.6 eV per cell
**Formation energy without anion corrections**: -2.28 eV/atom